[1]
Density functional theory data (PBE-GGA) for a relaxed V2IrI2 crystal.

It has space group I4/mmm (No. 139), with a = 5.190 Å, b = 5.190 Å, c = 7.598 Å, α = 90.00°, β = 90.00° and γ = 90.00°. The inequivalent atoms are V at (0.000, 0.000, 0.125), Ir at (0.000, 0.000, 0.500) and I at (0.000, 0.500, 0.250).

The value obtained for the total energy is -5.042 eV/atom. Its raw formation energy is 997 meV per atom. For the total moment, the calculation gives 0.0 μB/f.u.

[2]
Density functional theory data (PBE-GGA) for a relaxed VIr2I4 crystal.

It has space group I4/mmm (No. 139), with a = 5.589 Å, b = 5.589 Å, c = 13.159 Å, α = 90.00°, β = 90.00° and γ = 90.00°. The inequivalent atoms are V at (0.000, 0.000, 0.000), Ir at (0.000, 0.000, 0.409), I at (0.000, 0.000, 0.209) and I at (0.000, 0.500, 0.000).

The value obtained for the total energy is -4.058 eV/atom. Its raw formation energy is 662 meV per atom. For the total moment, the calculation gives 0.2 μB/f.u.

[3]
Density functional theory data (PBE-GGA) for a relaxed V2IrI2 crystal.

It has space group P4/mbm (No. 127), with a = 6.862 Å, b = 6.862 Å, c = 4.290 Å, α = 90.00°, β = 90.00° and γ = 90.00°. The inequivalent atoms are V at (0.142, 0.358, 0.000), Ir at (0.000, 0.000, 0.000) and I at (0.169, 0.669, 0.500).

The value obtained for the total energy is -5.298 eV/atom. Its raw formation energy is 742 meV per atom. For the total moment, the calculation gives 3.3 μB/f.u.

[4]
Density functional theory data (PBE-GGA) for a relaxed V3IrI crystal.

It has space group Pm-3m (No. 221), with a = 4.812 Å, b = 4.812 Å, c = 4.812 Å, α = 90.00°, β = 90.00° and γ = 90.00°. The inequivalent atoms are V at (0.000, 0.000, 0.500), Ir at (0.000, 0.000, 0.000) and I at (0.500, 0.500, 0.500).

The value obtained for the total energy is -6.649 eV/atom. Its raw formation energy is 905 meV per atom. For the total moment, the calculation gives 6.1 μB/f.u.